Entry 1:
Computed, not measured: LuCu3S3 after structural relaxation at the PBEsol level of DFT.

Calculated values
total moment	0.0	μB/cell
formation energy (no corrections)	-0.89	eV/atom
mass density	6.73	g/cm³

The structure in CIF format:
```
data_LuCu3S3
_cell_length_a 6.5324
_cell_length_b 6.5324
_cell_length_c 18.4961
_cell_angle_alpha 90.00
_cell_angle_beta 90.00
_cell_angle_gamma 120.00
_symmetry_space_group_name_H-M 'R -3'
_symmetry_Int_Tables_number 148
_symmetry_space_group_name_Hall '-R 3'
loop_
_atom_site_label
_atom_site_type_symbol
_atom_site_fract_x
_atom_site_fract_y
_atom_site_fract_z
_atom_site_occupancy
Lu1 Lu 0.0000 0.0000 0.1665 1
Cu1 Cu 0.0000 0.3410 0.3767 1
S1 S 0.0008 0.6702 0.4184 1
```

=====

Entry 2:
Computed, not measured: LuCu2S2 after structural relaxation at the PBEsol level of DFT.

Calculated values
total moment	0.0	μB/cell
formation energy (no corrections)	-0.82	eV/atom
mass density	7.70	g/cm³

The structure in CIF format:
```
data_LuCu2S2
_cell_length_a 3.8809
_cell_length_b 3.8809
_cell_length_c 6.0563
_cell_angle_alpha 90.00
_cell_angle_beta 90.00
_cell_angle_gamma 120.00
_symmetry_space_group_name_H-M 'P -3 m 1'
_symmetry_Int_Tables_number 164
_symmetry_space_group_name_Hall '-P 3 2"'
loop_
_atom_site_label
_atom_site_type_symbol
_atom_site_fract_x
_atom_site_fract_y
_atom_site_fract_z
_atom_site_occupancy
Lu1 Lu 0.0000 0.0000 0.0000 1
Cu1 Cu 0.3333 0.6667 0.3335 1
S1 S 0.3333 0.6667 0.7387 1
```